Here is an optimized crystal structure of TbYCoHg from Alexandria via LeMat-Bulk. Energies are from PBE-GGA.

abc: 5.047 5.047 5.047
angles: 60.00 60.00 60.00
Each line ends with the local moment (μB).
Atoms (fractional coordinates):
Tb: 0.250 0.250 0.250  -0.17
Y: 0.750 0.750 0.750  -0.14
Hg: 0.500 0.500 0.500  -0.02
Co: 0.000 0.000 0.000  1.10

- Volume: 91 Å³ per cell
- Energy: -19.4 eV per formula unit
- DOS(E_F): 2.48 states/eV per cell
- M_tot: 0.58 μB/cell
- Formation energy from the elements: -21.64 kJ/mol of atoms